[1]
First-principles (GGA-PBEsol) data for an optimized crystal structure of ScTcIr2, as listed in Alexandria via LeMat-Bulk.

Cell: 2.8015 3.8666 5.6416 Å, 90.00 90.00 90.00°
Closest atoms and distances in Å follow each position.
Fractional coordinates of all 4 atoms:
Sc 0.0000 0.0000 0.0000  6 Ir 2.71-2.87, 2 Sc 2.80, 4 Tc 2.94
Tc 0.5000 0.5000 0.3040  5 Ir 2.61-2.64, 2 Tc 2.80
Ir 0.0000 0.0000 0.4920  4 Tc 2.61, 2 Sc 2.78-2.87, 6 Ir 2.80-2.86
Ir 0.5000 0.5000 0.7724  1 Tc 2.64, 4 Sc 2.71, 6 Ir 2.80-2.86

formation energy from the elements	-0.250	eV/atom
space group	Pmm2 (25)

=====

[2]
First-principles (GGA-PBEsol) data for an optimized crystal structure of ScTcIr, as listed in Alexandria via LeMat-Bulk.

Cell: 5.1367 5.1367 5.1367 Å, 143.82 143.82 52.09°
Closest atoms and distances in Å follow each position.
Fractional coordinates of all 3 atoms:
Sc 0.0000 0.0000 0.0000  5 Ir 2.76-3.03, 5 Tc 2.77-3.01
Tc 0.6735 0.6735 0.0000  4 Ir 2.67, 4 Sc 2.77
Ir 0.3278 0.3278 0.0000  4 Tc 2.67, 4 Sc 2.76

formation energy from the elements	-0.146	eV/atom
space group	I4mm (107)

=====

[3]
First-principles (GGA-PBEsol) data for an optimized crystal structure of ScTcIr, as listed in Alexandria via LeMat-Bulk.

Cell: 2.8583 2.8583 6.6864 Å, 90.00 90.00 120.00°
Closest atoms and distances in Å follow each position.
Fractional coordinates of all 3 atoms:
Sc 0.0000 0.0000 0.0000  3 Ir 2.81, 3 Tc 2.85, 6 Sc 2.86
Tc 0.3333 0.6667 0.6517  3 Ir 2.65, 3 Sc 2.85, 6 Tc 2.86
Ir 0.6667 0.3333 0.3407  3 Tc 2.65, 3 Sc 2.81, 6 Ir 2.86

formation energy from the elements	0.012	eV/atom
space group	P3m1 (156)

=====

[4]
First-principles (GGA-PBEsol) data for an optimized crystal structure of Sc3TeIr, as listed in Alexandria via LeMat-Bulk.

Cell: 5.0728 5.0728 5.0728 Å, 90.00 90.00 90.00°
Closest atoms and distances in Å follow each position.
Fractional coordinates of all 5 atoms:
Sc 0.0000 0.0000 0.5000  2 Te 2.54
Sc 0.0000 0.5000 0.0000  2 Te 2.54
Sc 0.5000 0.0000 0.0000  2 Te 2.54
Te 0.0000 0.0000 0.0000  6 Sc 2.54
Ir 0.5000 0.5000 0.5000  12 Sc 3.59

space group	Pm-3m (221)

=====

[5]
First-principles (GGA-PBEsol) data for an optimized crystal structure of ScTeIr2, as listed in Alexandria via LeMat-Bulk.

Cell: 5.5063 5.5063 2.9600 Å, 105.15 105.15 118.14°
Closest atoms and distances in Å follow each position.
Fractional coordinates of all 4 atoms:
Sc 0.0000 0.0000 0.0000  4 Ir 2.76, 4 Te 2.83-2.87, 2 Sc 2.96
Te 0.5000 0.5000 0.0000  4 Ir 2.76, 4 Sc 2.83-2.87, 2 Te 2.96
Ir 0.0000 0.5000 0.5000  2 Sc 2.76, 2 Te 2.76, 6 Ir 2.83-2.96
Ir 0.5000 0.0000 0.5000  2 Sc 2.76, 2 Te 2.76, 6 Ir 2.83-2.96

space group	C2/m (12)

=====

[6]
First-principles (GGA-PBEsol) data for an optimized crystal structure of Sc6Te2Ir, as listed in Alexandria via LeMat-Bulk.

Cell: 7.6716 7.6716 3.7631 Å, 90.00 90.00 120.00°
Closest atoms and distances in Å follow each position.
Fractional coordinates of all 9 atoms:
Sc 0.0000 0.3890 0.0000  1 Ir 2.98, 4 Te 3.03, 4 Sc 3.22
Sc 0.0000 0.7570 0.5000  2 Ir 2.65, 2 Te 2.97
Sc 0.2430 0.2430 0.5000  2 Ir 2.65, 2 Te 2.97
Sc 0.3890 0.0000 0.0000  1 Ir 2.98, 4 Te 3.03, 4 Sc 3.22
Sc 0.6110 0.6110 0.0000  1 Ir 2.98, 4 Te 3.03, 4 Sc 3.22
Sc 0.7570 0.0000 0.5000  2 Ir 2.65, 2 Te 2.97
Te 0.3333 0.6667 0.5000  9 Sc 2.97-3.03
Te 0.6667 0.3333 0.5000  9 Sc 2.97-3.03
Ir 0.0000 0.0000 0.0000  6 Sc 2.65

space group	P-62m (189)

=====

[7]
First-principles (GGA-PBEsol) data for an optimized crystal structure of ScTeIr2, as listed in Alexandria via LeMat-Bulk.

Cell: 4.9165 4.9165 4.9165 Å, 131.54 129.74 72.40°
Closest atoms and distances in Å follow each position.
Fractional coordinates of all 4 atoms:
Sc 0.0000 0.0000 0.0000  8 Ir 2.83-2.88, 4 Te 2.90
Te 0.5000 0.5000 0.0000  8 Ir 2.78-2.93, 4 Sc 2.90
Ir 0.2592 0.7592 0.5000  4 Te 2.78-2.93, 4 Sc 2.83-2.88, 4 Ir 2.91
Ir 0.7408 0.2408 0.5000  4 Te 2.78-2.93, 4 Sc 2.83-2.88, 4 Ir 2.91

space group	Immm (71)

=====

[8]
First-principles (GGA-PBEsol) data for an optimized crystal structure of Sc2TeIr, as listed in Alexandria via LeMat-Bulk.

Cell: 4.7211 4.7211 3.4463 Å, 90.00 90.00 90.00°
Closest atoms and distances in Å follow each position.
Fractional coordinates of all 4 atoms:
Sc 0.0000 0.5000 0.0000  4 Te 2.92, 4 Ir 2.92
Sc 0.5000 0.0000 0.0000  4 Te 2.92, 4 Ir 2.92
Te 0.0000 0.0000 0.5000  8 Sc 2.92
Ir 0.5000 0.5000 0.5000  8 Sc 2.92

space group	P4/mmm (123)

=====

Number 1: DFT total energy -9.6291 eV/atom. Number 2: DFT total energy -9.3780 eV/atom. Number 3: DFT total energy -9.2199 eV/atom. Number 4: DFT total energy -6.0189 eV/atom. Number 5: DFT total energy -7.5863 eV/atom. Number 6: DFT total energy -7.1469 eV/atom. Number 7: DFT total energy -7.8232 eV/atom. Number 8: DFT total energy -7.3360 eV/atom.